Entry 1:
{
  "formula": "Ac2Pm2CoHg2",
  "functional": "PBE-GGA",
  "state": "relaxed",
  "cell": [[4.113, 0.004, 0.003], [0.009, 7.389, -0.100], [2.064, 2.981, 7.230]],
  "species": ["Hg", "Hg", "Pm", "Pm", "Ac", "Ac", "Co"],
  "fractional_positions": [[0.122, 0.571, 0.758], [0.878, 0.429, 0.242], [0.483, 0.233, 0.035], [0.517, 0.767, 0.965], [0.197, 0.189, 0.602], [0.803, 0.811, 0.398], [0.000, 0.000, 0.000]],
  "spacegroup": "P-1"
}

Entry 2:
{
  "formula": "AcPmCoHg",
  "functional": "PBE-GGA",
  "state": "relaxed",
  "cell": [[5.339, 0.000, 0.000], [2.669, 4.624, 0.000], [2.669, 1.541, 4.359]],
  "species": ["Pm", "Hg", "Ac", "Co"],
  "fractional_positions": [[0.250, 0.250, 0.250], [0.500, 0.500, 0.500], [0.750, 0.750, 0.750], [0.000, 0.000, 0.000]],
  "spacegroup": "F-43m"
}

Entry 3:
{
  "formula": "Ac3Pr3CoHg2",
  "functional": "PBE-GGA",
  "state": "relaxed",
  "cell": [[-1.032, -1.165, 3.625], [5.869, -6.920, -0.552], [2.713, 8.006, 3.345]],
  "species": ["Hg", "Hg", "Ac", "Ac", "Ac", "Co", "Pr", "Pr", "Pr"],
  "fractional_positions": [[0.500, 0.667, 0.333], [0.500, 0.333, 0.667], [0.500, 0.000, 0.764], [0.500, 0.764, 0.000], [0.500, 0.236, 0.236], [0.000, 0.000, 0.000], [0.000, 0.000, 0.410], [0.000, 0.410, 0.000], [0.000, 0.590, 0.590]],
  "spacegroup": "P-62m"
}

Entry 4:
{
  "formula": "Ac6CoHgPt2",
  "functional": "PBE-GGA",
  "state": "relaxed",
  "cell": [[-2.258, 4.471, 5.872], [-1.479, -3.141, 6.894], [5.494, 1.385, 6.126]],
  "species": ["Ac", "Ac", "Ac", "Ac", "Ac", "Ac", "Co", "Pt", "Pt", "Hg"],
  "fractional_positions": [[0.575, 0.261, 0.234], [0.262, 0.929, 0.234], [0.377, 0.730, 0.761], [0.132, 0.377, 0.761], [0.730, 0.132, 0.760], [0.929, 0.575, 0.234], [0.328, 0.328, 0.015], [0.509, 0.509, 0.472], [0.997, 0.997, 0.009], [0.821, 0.821, 0.536]],
  "spacegroup": "R3"
}

Let's list calculated total energy in order: -3.887, -4.137, -4.024, -4.948 eV per atom.